# 1
Y2GaSe | SCAN | PBEsol geometry

Properties
magnetization = 0.0 μB per formula unit

Cell: 5.020 5.020 5.020 Å, 60.00 60.00 60.00°
Element x y z (fractional)
Y1 0.250 0.250 0.250
Y2 0.750 0.750 0.750
Ga1 0.000 0.000 0.000
Se1 0.500 0.500 0.500

=====

# 2
Y3GaSe | SCAN | PBEsol geometry

Properties
magnetization = 1.2 μB per formula unit

Cell: 5.313 5.313 5.313 Å, 90.00 90.00 90.00°
Element x y z (fractional)
Y1 0.000 0.000 0.500
Y2 0.000 0.500 0.000
Y3 0.500 0.000 0.000
Ga1 0.000 0.000 0.000
Se1 0.500 0.500 0.500

=====

# 3
SmGaSi | SCAN | PBEsol geometry

Properties
magnetization = 0.0 μB per formula unit

Cell: 7.643 7.643 7.643 Å, 148.86 148.86 44.62°
Element x y z (fractional)
Sm1 0.000 0.000 0.000
Sm2 0.750 0.250 0.500
Ga1 0.333 0.833 0.500
Ga2 0.583 0.583 0.000
Si1 0.167 0.667 0.500
Si2 0.417 0.417 0.000

=====

# 4
GaSi2Sn | SCAN | PBEsol geometry

Properties
E above lowest polymorph = 387 meV per atom
magnetization = 0.0 μB per formula unit

Cell: 4.708 4.708 4.708 Å, 60.00 60.00 60.00°
Element x y z (fractional)
Ga1 0.000 0.000 0.000
Si1 0.250 0.250 0.250
Si2 0.750 0.750 0.750
Sn1 0.500 0.500 0.500

=====

# 5
Ga3SiSn | SCAN | PBEsol geometry

Properties
magnetization = 0.0 μB per formula unit

Cell: 4.776 4.776 4.776 Å, 90.00 90.00 90.00°
Element x y z (fractional)
Ga1 0.000 0.000 0.500
Ga2 0.000 0.500 0.000
Ga3 0.500 0.000 0.000
Si1 0.000 0.000 0.000
Sn1 0.500 0.500 0.500

=====

# 6
GaSi3Sn | SCAN | PBEsol geometry

Properties
E above lowest polymorph = 0 meV per atom
magnetization = 0.0 μB per formula unit

Cell: 4.737 4.737 4.737 Å, 90.00 90.00 90.00°
Element x y z (fractional)
Ga1 0.000 0.000 0.000
Si1 0.000 0.000 0.500
Si2 0.000 0.500 0.000
Si3 0.500 0.000 0.000
Sn1 0.500 0.500 0.500

=====

How do the records compare in energy relative to the elements, uncorrected? In the order shown, they have -347 -137 -220 252 221 492 kJ/mol of formula units.